A relaxed structure of ZrAl2Ni. Source: Alexandria via LeMat-Bulk, functional PBEsol.

Cell and atoms, written as extended XYZ:
```
4
Lattice="-0.653 0.260 2.886 0.999 -3.893 0.577 5.279 1.288 -0.448" Properties=species:S:1:pos:R:3 pbc="T T T"
Ni 2.072 0.845 2.115
Al 0.160 0.074 0.220
Al 1.366 -1.447 2.159
Zr 4.013 -0.913 1.183
```

## Properties
Symmetry: No. 38
Formation energy from the elements (eV per atom): -0.34